1.
Computed, not measured: a geometry-optimized MoPd2PtPb structure at the PBE level of DFT. Values from VASP.

Summary:
E_tot: -4.809 eV per atom

Structure (Quantum ESPRESSO input):
```
&SYSTEM
  ibrav = 0, nat = 5, ntyp = 4
/
ATOMIC_SPECIES
Pd 106.42 Pd.upf
Pt 195.08 Pt.upf
Pb 207.20 Pb.upf
Mo 95.94 Mo.upf
ATOMIC_POSITIONS angstrom
Pd -2.197 -0.597 1.014
Pd 0.984 -2.111 0.889
Pt -0.655 -1.201 -2.127
Pb 0.000 0.000 0.000
Mo -1.869 -3.909 -0.224
CELL_PARAMETERS angstrom
-4.395 -1.195 2.029
-1.311 -2.403 -4.254
1.968 -4.222 1.778
```

2.
Computed, not measured: a geometry-optimized CaPr4S6 structure at the PBE level of DFT. Values from VASP.

Summary:
ΔE_f (raw): -2013 meV per atom

Structure (Quantum ESPRESSO input):
```
&SYSTEM
  ibrav = 0, nat = 22, ntyp = 3
/
ATOMIC_SPECIES
S 32.06 S.upf
Ca 40.08 Ca.upf
Pr 140.91 Pr.upf
ATOMIC_POSITIONS angstrom
S 0.000 3.092 12.162
S 2.020 6.146 13.818
S 0.000 4.077 5.178
S 0.000 3.092 18.905
S 0.000 0.633 6.892
S 2.020 0.000 0.000
S 2.020 0.000 10.355
S 2.020 6.146 17.248
S 2.020 3.687 8.549
S 0.000 0.633 3.463
S 2.020 3.687 1.806
S 2.020 2.702 15.533
Ca 2.020 2.116 5.178
Ca 0.000 4.663 15.533
Pr 0.000 1.863 0.881
Pr 0.000 5.506 2.771
Pr 0.000 1.863 9.475
Pr 0.000 5.506 7.585
Pr 2.020 4.916 11.236
Pr 2.020 1.273 13.126
Pr 2.020 1.273 17.940
Pr 2.020 4.916 19.830
CELL_PARAMETERS angstrom
4.039 0.000 0.000
-2.020 6.779 0.000
0.000 0.000 20.711
```

3.
Computed, not measured: a geometry-optimized TbPmTh2Se4 structure at the PBE level of DFT. Values from VASP.

Summary:
ΔE_f (raw): -1659 meV per atom

Structure (Quantum ESPRESSO input):
```
&SYSTEM
  ibrav = 0, nat = 8, ntyp = 4
/
ATOMIC_SPECIES
Se 78.96 Se.upf
Th 232.04 Th.upf
Tb 158.93 Tb.upf
Pm 145.00 Pm.upf
ATOMIC_POSITIONS angstrom
Se 2.085 6.094 1.558
Se 0.000 7.357 4.814
Se 4.170 2.533 1.618
Se 2.085 3.796 4.874
Th 0.000 2.532 6.634
Th 2.085 1.266 3.317
Tb 0.000 4.945 3.216
Pm 2.085 3.679 -0.101
CELL_PARAMETERS angstrom
4.170 0.000 0.000
0.000 7.358 -0.202
0.000 2.532 6.634
```

4.
Computed, not measured: a geometry-optimized Re2PtAu structure at the PBE level of DFT. Values from VASP.

Summary:
relative energy among the computed polymorphs: 15.5 meV per atom

Structure (Quantum ESPRESSO input):
```
&SYSTEM
  ibrav = 0, nat = 4, ntyp = 3
/
ATOMIC_SPECIES
Re 186.21 Re.upf
Au 196.97 Au.upf
Pt 195.08 Pt.upf
ATOMIC_POSITIONS angstrom
Re 1.408 1.408 1.854
Re 0.000 0.000 0.066
Au 0.000 0.000 3.964
Pt 1.408 1.408 6.141
CELL_PARAMETERS angstrom
2.816 0.000 0.000
0.000 2.816 0.000
0.000 0.000 8.016
```

5.
Computed, not measured: a geometry-optimized TiNbAl2 structure at the PBE level of DFT. Values from VASP.

Summary:
relative energy among the computed polymorphs: 0.0 meV per atom

Structure (Quantum ESPRESSO input):
```
&SYSTEM
  ibrav = 0, nat = 4, ntyp = 3
/
ATOMIC_SPECIES
Al 26.98 Al.upf
Nb 92.91 Nb.upf
Ti 47.87 Ti.upf
ATOMIC_POSITIONS angstrom
Al -0.164 -1.042 1.690
Al 0.232 -1.694 -1.022
Nb -1.983 -2.853 0.397
Ti -2.051 -0.117 -0.272
CELL_PARAMETERS angstrom
-4.102 -0.235 -0.543
0.464 -3.388 -2.043
-0.328 -2.083 3.380
```

6.
Computed, not measured: a geometry-optimized Zn2Se structure at the PBE level of DFT. Values from VASP.

Summary:
relative energy among the computed polymorphs: 116.5 meV per atom
ΔE_f (raw): -75 meV per atom

Structure (Quantum ESPRESSO input):
```
&SYSTEM
  ibrav = 0, nat = 6, ntyp = 2
/
ATOMIC_SPECIES
Zn 65.41 Zn.upf
Se 78.96 Se.upf
ATOMIC_POSITIONS angstrom
Zn 1.805 -2.202 2.725
Zn 1.805 4.357 2.725
Zn 1.805 2.202 0.908
Zn 1.805 -4.357 0.908
Se 1.805 7.811 0.908
Se 1.805 -7.811 2.725
CELL_PARAMETERS angstrom
1.805 -9.714 0.000
1.805 9.714 0.000
0.000 0.000 3.633
```